Model w:
4
Lattice="0.0000 3.6162 3.6162 3.6162 0.0000 3.6162 3.6162 3.6162 0.0000" Properties=species:S:1:pos:R:3 comment="PBE TaSn2Br, relaxed" sg="Fm-3m, No. 225" magnetic_moment_mub_per_cell=0.000 pbc="T T T"
Ta 0.0000 0.0000 0.0000
Sn 1.8081 1.8081 1.8081
Sn 5.4243 5.4243 5.4243
Br 3.6162 3.6162 3.6162

Model x:
8
Lattice="-3.2414 3.2414 7.0603 3.2414 -3.2414 7.0603 3.2414 3.2414 -7.0603" Properties=species:S:1:pos:R:3 comment="PBE TaSn2Br, relaxed" sg="I-42d, No. 122" magnetic_moment_mub_per_cell=0.000 pbc="T T T"
Ta 0.0000 0.0000 0.0000
Ta 0.0000 3.2414 3.5302
Sn 4.8621 1.2751 -1.7651
Sn 1.2751 1.6207 1.7651
Sn -1.6207 1.9663 5.2952
Sn 1.9663 1.6207 8.8254
Br 3.2414 0.0000 3.5302
Br 0.0000 0.0000 7.0603

It is model x that is the least stable of them.

Model w:
8
Lattice="-3.2338 3.2338 6.4867 3.2338 -3.2338 6.4867 3.2338 3.2338 -6.4867" Properties=species:S:1:pos:R:3 comment="PBE TcSn2Br, relaxed" sg="I-42d, No. 122" magnetic_moment_mub_per_cell=0.000 pbc="T T T"
Tc 0.0000 0.0000 0.0000
Tc 0.0000 3.2338 3.2434
Sn 4.8507 1.1349 -1.6217
Sn 1.1349 1.6169 1.6217
Sn -1.6169 2.0989 4.8650
Sn 2.0989 1.6169 8.1084
Br 3.2338 0.0000 3.2434
Br 0.0000 0.0000 6.4867

Model x:
4
Lattice="0.0000 3.6138 3.6138 3.6138 0.0000 3.6138 3.6138 3.6138 0.0000" Properties=species:S:1:pos:R:3 comment="PBE TcSn2Br, relaxed" sg="Fm-3m, No. 225" magnetic_moment_mub_per_cell=2.592 pbc="T T T"
Tc 0.0000 0.0000 0.0000
Sn 1.8069 1.8069 1.8069
Sn 5.4206 5.4206 5.4206
Br 3.6138 3.6138 3.6138

It is model x that is the least stable of them.

Model w:
5
Lattice="5.1883 0.0000 0.0000 0.0000 5.1883 0.0000 0.0000 0.0000 5.1883" Properties=species:S:1:pos:R:3 comment="PBE TcSn3Br, relaxed" sg="Pm-3m, No. 221" magnetic_moment_mub_per_cell=0.000 pbc="T T T"
Tc 0.0000 0.0000 0.0000
Sn 0.0000 0.0000 2.5941
Sn 0.0000 2.5941 0.0000
Sn 2.5941 0.0000 0.0000
Br 2.5941 2.5941 2.5941

Model x:
5
Lattice="5.4694 0.0000 0.0000 0.0000 5.4694 0.0000 0.0000 0.0000 5.4694" Properties=species:S:1:pos:R:3 comment="PBE TcSn3Br, relaxed" sg="Pm-3m, No. 221" magnetic_moment_mub_per_cell=3.879 pbc="T T T"
Tc 0.0000 0.0000 0.0000
Sn 0.0000 2.7347 2.7347
Sn 2.7347 0.0000 2.7347
Sn 2.7347 2.7347 0.0000
Br 2.7347 2.7347 2.7347

It is model x that is the least stable of them.

Model w:
4
Lattice="1.8383 1.0613 10.3771 -1.8383 1.0613 10.3771 0.0000 -2.1227 10.3771" Properties=species:S:1:pos:R:3 comment="PBE SnTeBr2, relaxed" sg="R-3m, No. 166" magnetic_moment_mub_per_cell=0.000 pbc="T T T"
Sn 0.0000 0.0000 0.0000
Te 0.0000 0.0000 15.5657
Br 0.0000 0.0000 12.7047
Br 0.0000 0.0000 18.4267

Model x:
4
Lattice="0.0000 3.8586 3.8586 3.8586 0.0000 3.8586 3.8586 3.8586 0.0000" Properties=species:S:1:pos:R:3 comment="PBE SnTeBr2, relaxed" sg="Fm-3m, No. 225" magnetic_moment_mub_per_cell=1.234 pbc="T T T"
Sn 0.0000 0.0000 0.0000
Te 3.8586 3.8586 3.8586
Br 1.9293 1.9293 1.9293
Br 5.7879 5.7879 5.7879

Model y:
8
Lattice="-2.8117 7.4312 4.1328 2.8117 -7.4312 4.1328 2.8117 7.4312 -4.1328" Properties=species:S:1:pos:R:3 comment="PBE SnTeBr2, relaxed" sg="Ima2, No. 46" magnetic_moment_mub_per_cell=0.000 pbc="T T T"
Sn 1.4058 1.8062 0.0000
Sn 1.4058 5.6250 4.1328
Te 0.0000 0.0000 3.3063
Te 2.8117 0.0000 3.3063
Br 1.4058 4.3042 1.7393
Br -1.4058 6.2661 3.4516
Br 1.4058 3.1270 5.8721
Br 1.4058 8.5963 3.4516

It is model x that is the least stable of them.

Model w:
5
Lattice="-2.3407 2.3407 7.0349 2.3407 -2.3407 7.0349 2.3407 2.3407 -7.0349" Properties=species:S:1:pos:R:3 comment="PBE Sn2TeBr2, relaxed" sg="I4/mmm, No. 139" magnetic_moment_mub_per_cell=0.000 pbc="T T T"
Sn 0.0000 0.0000 1.6082
Sn 0.0000 0.0000 12.4616
Te 0.0000 0.0000 7.0349
Br 2.3407 0.0000 3.5175
Br 0.0000 2.3407 3.5175

Model x:
10
Lattice="8.6261 0.0000 0.0000 0.0000 8.6261 0.0000 0.0000 0.0000 4.4089" Properties=species:S:1:pos:R:3 comment="PBE Sn2TeBr2, relaxed" sg="P4/mbm, No. 127" magnetic_moment_mub_per_cell=0.000 pbc="T T T"
Sn 1.7011 2.6119 0.0000
Sn 2.6119 6.9250 0.0000
Sn 6.0141 1.7011 0.0000
Sn 6.9250 6.0141 0.0000
Te 0.0000 0.0000 0.0000
Te 4.3130 4.3130 0.0000
Br 1.2549 5.5680 2.2045
Br 3.0581 1.2549 2.2045
Br 5.5680 7.3712 2.2045
Br 7.3712 3.0581 2.2045

It is model w that is the least stable of them.

Model w:
5
Lattice="5.9715 0.0000 0.0000 0.0000 5.9715 0.0000 0.0000 0.0000 5.9715" Properties=species:S:1:pos:R:3 comment="PBE Sn3TeBr, relaxed" sg="Pm-3m, No. 221" magnetic_moment_mub_per_cell=0.000 pbc="T T T"
Sn 0.0000 0.0000 2.9857
Sn 0.0000 2.9857 0.0000
Sn 2.9857 0.0000 0.0000
Te 0.0000 0.0000 0.0000
Br 2.9857 2.9857 2.9857

Model x:
5
Lattice="5.6527 0.0000 0.0000 0.0000 5.6527 0.0000 0.0000 0.0000 5.6527" Properties=species:S:1:pos:R:3 comment="PBE Sn3TeBr, relaxed" sg="Pm-3m, No. 221" magnetic_moment_mub_per_cell=0.000 pbc="T T T"
Sn 0.0000 0.0000 2.8264
Sn 0.0000 2.8264 0.0000
Sn 2.8264 0.0000 0.0000
Te 2.8264 2.8264 2.8264
Br 0.0000 0.0000 0.0000

It is model x that is the least stable of them.